No. 1
Crystalline TaReTe2 at its relaxed geometry. Source: Alexandria via LeMat-Bulk, functional PBE.

It has space group Fm-3m (No. 225), with a = 6.720 Å, b = 6.720 Å, c = 6.720 Å, α = 90.00°, β = 90.00° and γ = 90.00°. The inequivalent atoms are Ta at (0.000, 0.000, 0.000), Re at (0.000, 0.000, 0.500) and Te at (0.250, 0.250, 0.250).

As for the crystal system: cubic. As for the polymorph energy (0 for the lowest one): 527 meV/atom. As for the formation energy (no corrections): 0.5390 eV/atom.

No. 2
Crystalline TaRe3Te at its relaxed geometry. Source: Alexandria via LeMat-Bulk, functional PBE.

It has space group Pm-3m (No. 221), with a = 4.726 Å, b = 4.726 Å, c = 4.726 Å, α = 90.00°, β = 90.00° and γ = 90.00°. The inequivalent atoms are Ta at (0.000, 0.000, 0.000), Re at (0.000, 0.500, 0.500) and Te at (0.500, 0.500, 0.500).

As for the crystal system: cubic. As for the polymorph energy (0 for the lowest one): 151 meV/atom. As for the formation energy (no corrections): 2.4320 eV/atom.

No. 3
Crystalline TaReTe2 at its relaxed geometry. Source: Alexandria via LeMat-Bulk, functional PBE.

It has space group Pmm2 (No. 25), with a = 3.626 Å, b = 4.185 Å, c = 7.022 Å, α = 90.00°, β = 90.00° and γ = 90.00°. The inequivalent atoms are Ta at (0.000, 0.000, 0.000), Re at (0.500, 0.500, 0.024), Te at (0.000, 0.500, 0.732) and Te at (0.500, 0.000, 0.296).

As for the crystal system: orthorhombic. As for the polymorph energy (0 for the lowest one): 0 meV/atom. As for the formation energy (no corrections): 0.0123 eV/atom.

No. 4
Crystalline TaZn2ReTe at its relaxed geometry. Source: Alexandria via LeMat-Bulk, functional PBE.

It has space group P4/mmm (No. 123), with a = 5.088 Å, b = 5.088 Å, c = 5.181 Å, α = 90.00°, β = 90.00° and γ = 90.00°. The inequivalent atoms are Ta at (0.000, 0.000, 0.000), Zn at (0.000, 0.500, 0.000), Re at (0.500, 0.500, 0.500) and Te at (0.000, 0.000, 0.500).

As for the crystal system: tetragonal. As for the formation energy (no corrections): 1.7253 eV/atom.

No. 5
Crystalline TaTiRe2 at its relaxed geometry. Source: Alexandria via LeMat-Bulk, functional PBE.

It has space group P4/mmm (No. 123), with a = 4.467 Å, b = 4.467 Å, c = 3.171 Å, α = 90.00°, β = 90.00° and γ = 90.00°. The inequivalent atoms are Ta at (0.000, 0.000, 0.000), Ti at (0.500, 0.500, 0.000) and Re at (0.000, 0.500, 0.500).

The value obtained for the energy relative to the elements is -0.44 eV/atom. As for the crystal system: tetragonal.

No. 6
Crystalline Ta2Ti2Re at its relaxed geometry. Source: Alexandria via LeMat-Bulk, functional PBE.

It has space group C2/m (No. 12), with a = 10.261 Å, b = 3.174 Å, c = 7.272 Å, α = 90.00°, β = 134.46° and γ = 90.00°. The inequivalent atoms are Ta at (0.090, 0.000, 0.381), Ti at (0.216, 0.500, 0.807) and Re at (0.000, 0.500, 0.000).

The value obtained for the energy relative to the elements is -0.18 eV/atom. As for the crystal system: monoclinic. As for the polymorph energy (0 for the lowest one): 0 meV/atom.

No. 7
Crystalline TaTi2Re2 at its relaxed geometry. Source: Alexandria via LeMat-Bulk, functional PBE.

It has space group Cmcm (No. 63), with a = 3.171 Å, b = 22.369 Å, c = 4.502 Å, α = 90.00°, β = 90.00° and γ = 90.00°. The inequivalent atoms are Ta at (0.000, 0.146, 0.250), Ti at (0.000, 0.048, 0.750), Ti at (0.000, 0.243, 0.750), Re at (0.000, 0.351, 0.250) and Re at (0.000, 0.452, 0.750).

The value obtained for the energy relative to the elements is -0.36 eV/atom. As for the crystal system: orthorhombic. As for the polymorph energy (0 for the lowest one): 0 meV/atom.

No. 8
Crystalline Ta2Ti2Re at its relaxed geometry. Source: Alexandria via LeMat-Bulk, functional PBE.

It has space group C2/m (No. 12), with a = 6.285 Å, b = 8.197 Å, c = 7.360 Å, α = 90.00°, β = 112.86° and γ = 90.00°. The inequivalent atoms are Ta at (0.151, 0.192, 0.211), Ti at (0.099, 0.500, 0.375), Ti at (0.239, 0.500, 0.057) and Re at (0.000, 0.170, 0.500).

The value obtained for the energy relative to the elements is 0.12 eV/atom. As for the crystal system: monoclinic. As for the polymorph energy (0 for the lowest one): 296 meV/atom.

No. 9
Crystalline TaTi4Re5 at its relaxed geometry. Source: Alexandria via LeMat-Bulk, functional PBE.

It has space group P4/mmm (No. 123), with a = 3.141 Å, b = 3.141 Å, c = 15.609 Å, α = 90.00°, β = 90.00° and γ = 90.00°. The inequivalent atoms are Ta at (0.000, 0.000, 0.000), Ti at (0.000, 0.000, 0.203), Ti at (0.000, 0.000, 0.401), Re at (0.500, 0.500, 0.103), Re at (0.500, 0.500, 0.302) and Re at (0.500, 0.500, 0.500).

The value obtained for the energy relative to the elements is -0.41 eV/atom. As for the crystal system: tetragonal.

No. 10
Crystalline TaTi2Re3 at its relaxed geometry. Source: Alexandria via LeMat-Bulk, functional PBE.

It has space group P4/mmm (No. 123), with a = 3.153 Å, b = 3.153 Å, c = 9.404 Å, α = 90.00°, β = 90.00° and γ = 90.00°. The inequivalent atoms are Ta at (0.000, 0.000, 0.000), Ti at (0.000, 0.000, 0.337), Re at (0.500, 0.500, 0.170) and Re at (0.500, 0.500, 0.500).

The value obtained for the energy relative to the elements is -0.42 eV/atom. As for the crystal system: tetragonal.

No. 11
Crystalline Ta6TiRe2 at its relaxed geometry. Source: Alexandria via LeMat-Bulk, functional PBE.

It has space group C2/m (No. 12), with a = 10.363 Å, b = 3.205 Å, c = 9.853 Å, α = 90.00°, β = 108.95° and γ = 90.00°. The inequivalent atoms are Ta at (0.006, 0.000, 0.328), Ta at (0.170, 0.500, 0.564), Ta at (0.175, 0.500, 0.887), Ti at (0.000, 0.000, 0.000) and Re at (0.164, 0.500, 0.220).

The value obtained for the energy relative to the elements is -0.22 eV/atom. As for the crystal system: monoclinic.

No. 12
Crystalline Ta3TiRe at its relaxed geometry. Source: Alexandria via LeMat-Bulk, functional PBE.

It has space group Pm-3m (No. 221), with a = 4.836 Å, b = 4.836 Å, c = 4.836 Å, α = 90.00°, β = 90.00° and γ = 90.00°. The inequivalent atoms are Ta at (0.000, 0.000, 0.500), Ti at (0.500, 0.500, 0.500) and Re at (0.000, 0.000, 0.000).

The value obtained for the energy relative to the elements is 1.27 eV/atom. As for the crystal system: cubic. As for the polymorph energy (0 for the lowest one): 1443 meV/atom.

No. 13
Crystalline Ta6Ti2Re at its relaxed geometry. Source: Alexandria via LeMat-Bulk, functional PBE.

It has space group C2/m (No. 12), with a = 13.938 Å, b = 6.234 Å, c = 4.393 Å, α = 90.00°, β = 108.27° and γ = 90.00°. The inequivalent atoms are Ta at (0.000, 0.248, 0.000), Ta at (0.167, 0.248, 0.666), Ti at (0.166, 0.500, 0.166) and Re at (0.000, 0.000, 0.500).

The value obtained for the energy relative to the elements is 0.75 eV/atom. As for the crystal system: monoclinic.

No. 14
Crystalline TaTiRe3 at its relaxed geometry. Source: Alexandria via LeMat-Bulk, functional PBE.

It has space group Pm-3m (No. 221), with a = 4.490 Å, b = 4.490 Å, c = 4.490 Å, α = 90.00°, β = 90.00° and γ = 90.00°. The inequivalent atoms are Ta at (0.000, 0.000, 0.000), Ti at (0.500, 0.500, 0.500) and Re at (0.000, 0.500, 0.500).

The value obtained for the energy relative to the elements is 1.52 eV/atom. As for the crystal system: cubic. As for the polymorph energy (0 for the lowest one): 0 meV/atom.

No. 15
Crystalline TaTi6Re2 at its relaxed geometry. Source: Alexandria via LeMat-Bulk, functional PBE.

It has space group C2/m (No. 12), with a = 10.236 Å, b = 3.162 Å, c = 9.653 Å, α = 90.00°, β = 107.85° and γ = 90.00°. The inequivalent atoms are Ta at (0.000, 0.000, 0.000), Ti at (0.012, 0.000, 0.333), Ti at (0.179, 0.500, 0.879), Ti at (0.181, 0.500, 0.574) and Re at (0.161, 0.500, 0.219).

The value obtained for the energy relative to the elements is -0.23 eV/atom. As for the crystal system: monoclinic.

No. 16
Crystalline Ta2Ti4Re at its relaxed geometry. Source: Alexandria via LeMat-Bulk, functional PBE.

It has space group P-1 (No. 2), with a = 2.859 Å, b = 6.972 Å, c = 6.984 Å, α = 117.43°, β = 96.93° and γ = 99.55°. The inequivalent atoms are Ta at (0.058, 0.429, 0.283), Ti at (0.286, 0.273, 0.858), Ti at (0.381, 0.134, 0.408) and Re at (0.500, 0.000, 0.000).

The value obtained for the energy relative to the elements is -0.08 eV/atom. As for the crystal system: triclinic.

No. 17
Crystalline Ta2Ti3Re3 at its relaxed geometry. Source: Alexandria via LeMat-Bulk, functional PBE.

It has space group Immm (No. 71), with a = 3.173 Å, b = 4.546 Å, c = 17.775 Å, α = 90.00°, β = 90.00° and γ = 90.00°. The inequivalent atoms are Ta at (0.000, 0.000, 0.244), Ti at (0.000, 0.000, 0.000), Ti at (0.000, 0.500, 0.118), Re at (0.000, 0.000, 0.500) and Re at (0.000, 0.500, 0.377).

The value obtained for the energy relative to the elements is -0.32 eV/atom. As for the crystal system: orthorhombic.

No. 18
Crystalline Ta3TiRe at its relaxed geometry. Source: Alexandria via LeMat-Bulk, functional PBE.

It has space group Pnma (No. 62), with a = 5.337 Å, b = 8.891 Å, c = 7.800 Å, α = 90.00°, β = 90.00° and γ = 90.00°. The inequivalent atoms are Ta at (0.075, 0.054, 0.167), Ta at (0.233, 0.250, 0.486), Ti at (0.207, 0.250, 0.844) and Re at (0.000, 0.000, 0.500).

The value obtained for the energy relative to the elements is 0.18 eV/atom. As for the crystal system: orthorhombic. As for the polymorph energy (0 for the lowest one): 354 meV/atom.

No. 19
Crystalline TaTi4Re at its relaxed geometry. Source: Alexandria via LeMat-Bulk, functional PBE.

It has space group C2/m (No. 12), with a = 9.649 Å, b = 4.514 Å, c = 5.568 Å, α = 90.00°, β = 124.58° and γ = 90.00°. The inequivalent atoms are Ta at (0.000, 0.000, 0.000), Ti at (0.155, 0.500, 0.813), Ti at (0.191, 0.500, 0.340) and Re at (0.000, 0.000, 0.500).

The value obtained for the energy relative to the elements is -0.17 eV/atom. As for the crystal system: monoclinic.

No. 20
Crystalline Ta4TiRe3 at its relaxed geometry. Source: Alexandria via LeMat-Bulk, functional PBE.

It has space group P4/mmm (No. 123), with a = 3.197 Å, b = 3.197 Å, c = 13.030 Å, α = 90.00°, β = 90.00° and γ = 90.00°. The inequivalent atoms are Ta at (0.000, 0.000, 0.123), Ta at (0.000, 0.000, 0.367), Ti at (0.500, 0.500, 0.500), Re at (0.500, 0.500, 0.000) and Re at (0.500, 0.500, 0.247).

The value obtained for the energy relative to the elements is -0.33 eV/atom. As for the crystal system: tetragonal.

No. 21
Crystalline Ta3TiRe at its relaxed geometry. Source: Alexandria via LeMat-Bulk, functional PBE.

It has space group C2/m (No. 12), with a = 10.344 Å, b = 3.194 Å, c = 10.420 Å, α = 90.00°, β = 90.17° and γ = 90.00°. The inequivalent atoms are Ta at (0.144, 0.000, 0.048), Ta at (0.147, 0.500, 0.545), Ta at (0.240, 0.000, 0.755), Ti at (0.049, 0.000, 0.335) and Re at (0.050, 0.500, 0.853).

The value obtained for the energy relative to the elements is -0.17 eV/atom. As for the crystal system: monoclinic. As for the polymorph energy (0 for the lowest one): 0 meV/atom.

No. 22
Crystalline TaTi3Re3 at its relaxed geometry. Source: Alexandria via LeMat-Bulk, functional PBE.

It has space group C2/m (No. 12), with a = 8.716 Å, b = 8.773 Å, c = 6.091 Å, α = 90.00°, β = 91.64° and γ = 90.00°. The inequivalent atoms are Ta at (0.180, 0.000, 0.455), Ti at (0.004, 0.500, 0.246), Ti at (0.243, 0.244, 0.758), Re at (0.000, 0.196, 0.000), Re at (0.000, 0.247, 0.500) and Re at (0.245, 0.500, 0.000).

The value obtained for the energy relative to the elements is 0.11 eV/atom. As for the crystal system: monoclinic.

No. 23
Crystalline TaTiRe2 at its relaxed geometry. Source: Alexandria via LeMat-Bulk, functional PBE.

It has space group I-42d (No. 122), with a = 7.110 Å, b = 7.110 Å, c = 5.416 Å, α = 90.00°, β = 90.00° and γ = 90.00°. The inequivalent atoms are Ta at (0.000, 0.000, 0.000), Ti at (0.000, 0.000, 0.500) and Re at (0.247, 0.250, 0.625).

The value obtained for the energy relative to the elements is 0.53 eV/atom. As for the crystal system: tetragonal.

No. 24
Crystalline TaTiRe4 at its relaxed geometry. Source: Alexandria via LeMat-Bulk, functional PBE.

It has space group F-43m (No. 216), with a = 7.335 Å, b = 7.335 Å, c = 7.335 Å, α = 90.00°, β = 90.00° and γ = 90.00°. The inequivalent atoms are Ta at (0.000, 0.000, 0.000), Ti at (0.250, 0.250, 0.750) and Re at (0.125, 0.125, 0.375).

The value obtained for the energy relative to the elements is -0.12 eV/atom. As for the crystal system: cubic.

No. 25
Crystalline TaTiRe2 at its relaxed geometry. Source: Alexandria via LeMat-Bulk, functional PBE.

It has space group P4/mmm (No. 123), with a = 3.164 Å, b = 3.164 Å, c = 6.309 Å, α = 90.00°, β = 90.00° and γ = 90.00°. The inequivalent atoms are Ta at (0.000, 0.000, 0.000), Ti at (0.000, 0.000, 0.500) and Re at (0.500, 0.500, 0.254).

The value obtained for the energy relative to the elements is -0.44 eV/atom. As for the crystal system: tetragonal.